Entry from OQMD via LeMat-Bulk: crystalline AlTcSn2 at its relaxed geometry (PBE).

Properties
The value obtained for the size of the total moment is 1.496 μB per cell. The calculation puts the total energy at -5.03 eV per atom. The value obtained for the density is 7.7 Mg/m³.

Cell lengths 6.7883, 6.7883, 6.7883 Å; angles 90.00, 90.00, 90.00 degrees
With the nearest neighbours (Å) after each atom.
Space group F-43m (No. 216)
Symmetry-distinct sites (fractional):
Al 0.0000 0.0000 0.0000 x4  4 Sn 2.94, 4 Tc 2.94
Tc 0.2500 0.2500 0.7500 x4  4 Sn 2.94, 4 Al 2.94
Sn 0.0000 0.0000 0.5000 x4  4 Sn 2.94, 4 Tc 2.94
Sn 0.2500 0.2500 0.2500 x4  4 Sn 2.94, 4 Al 2.94